Record 1
Entry from the Alexandria database: MnAu2Br after structural relaxation (PBE).

The structure in POSCAR format:
```
MnAu2Br
1.0
3.860 0.000 0.000
0.000 3.858 0.000
0.000 0.000 5.668
Au Mn Br
2 1 1
Cartesian
1.930 1.929 0.000
0.000 0.000 0.000
0.000 1.929 2.834
1.930 0.000 2.834
```

Summary:
The calculation puts the energy above the most stable polymorph in this dataset at 246.9 meV/atom. The calculation puts the formation energy (no corrections) at 198 meV/atom. The value obtained for the raw total energy is -16.606 eV/cell.

Record 2
Entry from the Alexandria database: Al2PBr after structural relaxation (PBE).

The structure in POSCAR format:
```
Al2PBr
1.0
-2.589 2.287 -3.339
-0.954 -2.150 -4.189
-4.470 -1.457 -0.989
Al P Br
2 1 1
Cartesian
-6.010 -0.990 -6.388
0.000 0.000 0.000
-2.003 -0.330 -2.129
-4.006 -0.660 -4.259
```

Summary:
The calculation puts the energy above the most stable polymorph in this dataset at 771.8 meV/atom. The calculation puts the formation energy (no corrections) at 509 meV/atom. The value obtained for the raw total energy is -12.532 eV/cell.

Record 3
Entry from the Alexandria database: Ca2CuBiO4 after structural relaxation (PBE).

The structure in POSCAR format:
```
Ca2CuBiO4
1.0
3.451 0.000 0.000
0.000 5.873 0.050
0.000 -2.102 5.562
Ca O Bi Cu
2 4 1 1
Cartesian
0.000 1.886 2.806
1.726 -1.051 2.781
1.726 0.971 1.429
1.726 2.800 4.183
0.000 3.817 1.513
0.000 -0.046 4.099
1.726 2.937 0.025
0.000 0.000 0.000
```

Summary:
The calculation puts the formation energy (no corrections) at -1749 meV/atom. The value obtained for the raw total energy is -45.808 eV/cell.

Record 4
Entry from the Alexandria database: Tm2RuCl after structural relaxation (PBE).

The structure in POSCAR format:
```
Tm2RuCl
1.0
3.318 0.000 0.000
0.000 3.318 0.000
0.000 0.000 7.912
Cl Tm Ru
1 2 1
Cartesian
1.659 1.659 3.956
0.000 0.000 1.653
0.000 0.000 6.259
1.659 1.659 0.000
```

Summary:
The calculation puts the energy above the most stable polymorph in this dataset at 0.0 meV/atom. The calculation puts the formation energy (no corrections) at -914 meV/atom. The value obtained for the raw total energy is -23.721 eV/cell.

Record 5
Entry from the Alexandria database: Mg12CdAg6 after structural relaxation (PBE).

The structure in POSCAR format:
```
Mg12CdAg6
1.0
0.306 6.814 -4.164
3.134 -6.017 -4.224
-7.526 -1.669 2.107
Mg Ag Cd
12 6 1
Cartesian
-4.981 -1.492 0.355
-0.712 4.058 -3.191
-3.373 -4.929 -3.090
1.510 -3.458 -3.594
-1.581 0.519 -5.026
-2.379 -2.340 -4.110
0.895 0.620 -6.636
-2.505 -1.391 -1.256
-1.707 1.468 -2.171
-5.596 2.587 -2.687
0.048 -0.966 -2.974
-4.133 0.094 -3.307
0.913 1.681 -3.775
-4.999 -2.552 -2.506
-0.045 -2.035 -5.800
-0.861 -3.695 -1.875
-4.040 1.163 -0.481
-3.225 2.823 -4.406
0.000 0.000 0.000
```

Summary:
The value obtained for the raw total energy is -39.545 eV/cell. For the calculated formation energy, the calculation gives -12.1 kJ/mol of atoms.

Record 6
Entry from the Alexandria database: SrNCl2 after structural relaxation (PBE).

The structure in POSCAR format:
```
SrNCl2
1.0
4.477 0.000 0.003
0.000 7.555 -1.704
0.005 -1.000 8.289
Cl Sr N
4 2 2
Cartesian
1.245 3.601 5.056
3.484 -0.177 5.906
3.486 4.253 2.074
1.246 0.476 2.926
1.246 5.814 3.138
3.484 2.039 3.991
1.243 2.540 -0.156
3.482 6.326 -1.008
```

Summary:
The calculation puts the energy above the most stable polymorph in this dataset at 4.3 meV/atom. The calculation puts the formation energy (no corrections) at -538 meV/atom. The value obtained for the raw total energy is -31.701 eV/cell.